No. 1
The following is a DFT calculation (PBEsol) of crystalline YB2Rh3 at its relaxed geometry.

Cell lengths 5.349, 5.349, 3.104 Å; angles 90.00, 90.00, 120.00 degrees
Element x y z (fractional)
Y (0.000, 0.000, 0.000)
B (0.333, 0.667, 0.000)
B (0.667, 0.333, 0.000)
Rh (0.000, 0.500, 0.500)
Rh (0.500, 0.000, 0.500)
Rh (0.500, 0.500, 0.500)

Summary:
- Formation energy: -0.761 eV/atom
- E_tot: -49.84 eV per cell

=====

No. 2
The following is a DFT calculation (PBEsol) of crystalline Zn5B4Rh8 at its relaxed geometry.

Cell lengths 9.413, 9.413, 2.822 Å; angles 90.00, 90.00, 127.10 degrees
Element x y z (fractional)
Zn (0.000, 0.000, 0.000)
Zn (0.198, 0.802, 0.000)
Zn (0.353, 0.353, 0.000)
Zn (0.647, 0.647, 0.000)
Zn (0.802, 0.198, 0.000)
B (0.158, 0.468, 0.000)
B (0.468, 0.158, 0.000)
B (0.532, 0.842, 0.000)
B (0.842, 0.532, 0.000)
Rh (0.000, 0.500, 0.500)
Rh (0.079, 0.266, 0.500)
Rh (0.266, 0.079, 0.500)
Rh (0.378, 0.622, 0.500)
Rh (0.500, 0.000, 0.500)
Rh (0.622, 0.378, 0.500)
Rh (0.734, 0.921, 0.500)
Rh (0.921, 0.734, 0.500)

Summary:
- Formation energy: -0.449 eV/atom
- E_tot: -108.72 eV per cell

=====

No. 3
The following is a DFT calculation (PBEsol) of crystalline Zn15B6Rh17 at its relaxed geometry.

Cell lengths 2.840, 11.029, 14.835 Å; angles 90.00, 90.00, 90.00 degrees
Element x y z (fractional)
Zn (0.000, 0.000, 0.000)
Zn (0.000, 0.116, 0.344)
Zn (0.000, 0.132, 0.587)
Zn (0.000, 0.204, 0.748)
Zn (0.000, 0.298, 0.954)
Zn (0.000, 0.374, 0.120)
Zn (0.000, 0.384, 0.353)
Zn (0.000, 0.500, 0.703)
Zn (0.000, 0.616, 0.353)
Zn (0.000, 0.626, 0.120)
Zn (0.000, 0.702, 0.954)
Zn (0.000, 0.796, 0.748)
Zn (0.000, 0.868, 0.587)
Zn (0.000, 0.884, 0.344)
Zn (0.500, 0.000, 0.472)
B (0.000, 0.000, 0.819)
B (0.000, 0.142, 0.170)
B (0.000, 0.357, 0.528)
B (0.000, 0.500, 0.882)
B (0.000, 0.643, 0.528)
B (0.000, 0.858, 0.170)
Rh (0.500, 0.000, 0.215)
Rh (0.500, 0.000, 0.706)
Rh (0.500, 0.123, 0.879)
Rh (0.500, 0.173, 0.067)
Rh (0.500, 0.242, 0.458)
Rh (0.500, 0.250, 0.242)
Rh (0.500, 0.330, 0.632)
Rh (0.500, 0.377, 0.822)
Rh (0.500, 0.500, 0.233)
Rh (0.500, 0.500, 0.485)
Rh (0.500, 0.500, 0.993)
Rh (0.500, 0.623, 0.822)
Rh (0.500, 0.670, 0.632)
Rh (0.500, 0.750, 0.242)
Rh (0.500, 0.758, 0.458)
Rh (0.500, 0.827, 0.067)
Rh (0.500, 0.877, 0.879)

Summary:
- Formation energy: -0.445 eV/atom
- E_tot: -221.08 eV per cell

=====

No. 4
The following is a DFT calculation (PBEsol) of crystalline ZnB2Rh at its relaxed geometry.

Cell lengths 5.668, 5.668, 5.668 Å; angles 128.88, 128.88, 75.21 degrees
Element x y z (fractional)
Zn (0.000, 0.000, 0.000)
Zn (0.750, 0.250, 0.500)
B (0.157, 0.625, 0.032)
B (0.375, 0.407, 0.532)
B (0.593, 0.125, 0.968)
B (0.875, 0.843, 0.468)
Rh (0.250, 0.750, 0.500)
Rh (0.500, 0.500, 0.000)

Summary:
- Formation energy: 0.663 eV/atom
- E_tot: -42.20 eV per cell

=====

No. 5
The following is a DFT calculation (PBEsol) of crystalline B3Ru2 at its relaxed geometry.

Cell lengths 2.894, 2.894, 12.736 Å; angles 90.00, 90.00, 120.00 degrees
Element x y z (fractional)
B (0.333, 0.667, 0.031)
B (0.333, 0.667, 0.250)
B (0.333, 0.667, 0.469)
B (0.667, 0.333, 0.531)
B (0.667, 0.333, 0.750)
B (0.667, 0.333, 0.969)
Ru (0.333, 0.667, 0.640)
Ru (0.333, 0.667, 0.860)
Ru (0.667, 0.333, 0.140)
Ru (0.667, 0.333, 0.360)

Summary:
- Formation energy: -0.380 eV/atom
- E_tot: -86.59 eV per cell

=====

No. 6
The following is a DFT calculation (PBEsol) of crystalline BRuS2 at its relaxed geometry.

Cell lengths 6.116, 6.116, 6.116 Å; angles 34.08, 34.08, 34.08 degrees
Element x y z (fractional)
B (0.000, 0.000, 0.000)
Ru (0.500, 0.500, 0.500)
S (0.100, 0.100, 0.100)
S (0.900, 0.900, 0.900)

Summary:
- Formation energy (no corrections): 208 meV/atom
- E_tot: -25.13 eV per cell

=====

No. 7
The following is a DFT calculation (PBEsol) of crystalline BSbRu3 at its relaxed geometry.

Cell lengths 4.755, 4.755, 4.755 Å; angles 90.00, 90.00, 90.00 degrees
Element x y z (fractional)
B (0.000, 0.000, 0.000)
Sb (0.500, 0.500, 0.500)
Ru (0.000, 0.500, 0.500)
Ru (0.500, 0.000, 0.500)
Ru (0.500, 0.500, 0.000)

Summary:
- Energy above the lowest structure with this stoichiometry: 63.78 kcal/mol of atoms
- Formation energy (no corrections): 2760 meV/atom
- E_tot: -28.29 eV per cell

=====

No. 8
The following is a DFT calculation (PBEsol) of crystalline BSbRu3 at its relaxed geometry.

Cell lengths 4.076, 4.076, 4.076 Å; angles 90.00, 90.00, 90.00 degrees
Element x y z (fractional)
B (0.000, 0.000, 0.000)
Sb (0.500, 0.500, 0.500)
Ru (0.000, 0.000, 0.500)
Ru (0.000, 0.500, 0.000)
Ru (0.500, 0.000, 0.000)

Summary:
- Energy above the lowest structure with this stoichiometry: 0.00 kcal/mol of atoms
- Formation energy (no corrections): -5 meV/atom
- E_tot: -42.12 eV per cell

=====

No. 9
The following is a DFT calculation (PBEsol) of crystalline SnBSbRu2 at its relaxed geometry.

Cell lengths 4.273, 4.273, 4.410 Å; angles 90.00, 90.00, 90.00 degrees
Element x y z (fractional)
Sn (0.000, 0.000, 0.000)
B (0.500, 0.500, 0.500)
Sb (0.500, 0.500, 0.000)
Ru (0.000, 0.500, 0.500)
Ru (0.500, 0.000, 0.500)

Summary:
- Formation energy (no corrections): 545 meV/atom
- E_tot: -33.45 eV per cell

=====

No. 10
The following is a DFT calculation (PBEsol) of crystalline ZnBSbRu2 at its relaxed geometry.

Cell lengths 4.187, 4.187, 3.944 Å; angles 90.00, 90.00, 90.00 degrees
Element x y z (fractional)
Zn (0.000, 0.000, 0.000)
B (0.000, 0.000, 0.500)
Sb (0.500, 0.500, 0.000)
Ru (0.000, 0.500, 0.500)
Ru (0.500, 0.000, 0.500)

Summary:
- Formation energy (no corrections): 126 meV/atom
- E_tot: -32.87 eV per cell

=====

No. 11
The following is a DFT calculation (PBEsol) of crystalline ZnB2SbRu at its relaxed geometry.

Cell lengths 4.281, 4.281, 5.030 Å; angles 90.00, 90.00, 90.00 degrees
Element x y z (fractional)
Zn (0.000, 0.000, 0.000)
B (0.000, 0.500, 0.500)
B (0.500, 0.000, 0.500)
Sb (0.500, 0.500, 0.500)
Ru (0.500, 0.500, 0.000)

Summary:
- Formation energy (no corrections): 2069 meV/atom
- E_tot: -20.00 eV per cell

=====

No. 12
The following is a DFT calculation (PBEsol) of crystalline ScB4Ru4 at its relaxed geometry.

Cell lengths 9.037, 9.037, 9.037 Å; angles 132.27, 132.27, 69.80 degrees
Element x y z (fractional)
Sc (0.125, 0.375, 0.750)
Sc (0.375, 0.125, 0.250)
Sc (0.625, 0.875, 0.750)
Sc (0.875, 0.625, 0.250)
B (0.070, 0.125, 0.283)
B (0.125, 0.342, 0.056)
B (0.158, 0.375, 0.444)
B (0.213, 0.930, 0.556)
B (0.287, 0.842, 0.717)
B (0.342, 0.787, 0.217)
B (0.375, 0.430, 0.217)
B (0.430, 0.713, 0.056)
B (0.570, 0.287, 0.944)
B (0.625, 0.570, 0.783)
B (0.658, 0.213, 0.783)
B (0.713, 0.158, 0.283)
B (0.787, 0.070, 0.444)
B (0.842, 0.625, 0.556)
B (0.875, 0.658, 0.944)
B (0.930, 0.875, 0.717)
Ru (0.033, 0.822, 0.982)
Ru (0.052, 0.033, 0.712)
Ru (0.160, 0.678, 0.712)
Ru (0.178, 0.660, 0.212)
Ru (0.322, 0.533, 0.482)
Ru (0.340, 0.052, 0.518)
Ru (0.448, 0.160, 0.982)
Ru (0.467, 0.448, 0.788)
Ru (0.533, 0.552, 0.212)
Ru (0.552, 0.840, 0.018)
Ru (0.660, 0.948, 0.482)
Ru (0.678, 0.467, 0.518)
Ru (0.822, 0.340, 0.788)
Ru (0.840, 0.322, 0.288)
Ru (0.948, 0.967, 0.288)
Ru (0.967, 0.178, 0.018)

Summary:
- Formation energy: -0.491 eV/atom
- E_tot: -319.11 eV per cell